The following is a PBE calculation of an optimized crystal structure of RbMgV, from Alexandria via LeMat-Bulk.

Energy of formation: 0.75 eV per atom
SG: Pnma, No. 62
Energy above the most stable polymorph in this dataset: 252.0 meV per atom
D(E_F): 7.1 states/eV/cell
Magnetic moment: 0.0 μB per formula unit

```
RbMgV
1.0
7.400 0.000 0.000
0.000 3.887 0.000
0.000 0.000 13.721
Rb Mg V
4 4 4
Cartesian
1.326 0.972 3.305 Rb
2.374 2.915 10.165 Rb
5.026 0.972 3.556 Rb
6.074 2.915 10.416 Rb
1.184 0.972 13.387 Mg
2.516 2.915 6.527 Mg
4.884 0.972 7.194 Mg
6.216 2.915 0.334 Mg
0.326 0.972 7.137 V
3.374 2.915 0.277 V
4.026 0.972 13.444 V
7.074 2.915 6.584 V
```